# 1
First-principles (PBE) data for an optimized crystal structure of Mn2TcMo, as listed in the Alexandria database.

DOS(E_F) in states/eV per cell: 9.677
E_form in eV per atom: 0.12
Offset from the most stable computed form in eV per atom: 0.0274

Geometry as CIF:
```
data_Mn2TcMo
_chemical_formula_sum 'Mn4 Tc2 Mo2'
_cell_length_a 3.0658
_cell_length_b 4.2062
_cell_length_c 8.4391
_cell_angle_alpha 90.00
_cell_angle_beta 90.00
_cell_angle_gamma 90.00
_symmetry_space_group_name_H-M 'I m m 2'
_symmetry_Int_Tables_number 44
loop_
_symmetry_equiv_pos_as_xyz
'x,y,z'
'-x,-y,z'
'-x,y,z'
'x,-y,z'
'x+1/2,y+1/2,z+1/2'
'-x+1/2,-y+1/2,z+1/2'
'-x+1/2,y+1/2,z+1/2'
'x+1/2,-y+1/2,z+1/2'
loop_
_atom_site_label
_atom_site_fract_x
_atom_site_fract_y
_atom_site_fract_z
Mn1 0.0000 0.0000 0.0000
Mn2 0.0000 0.5000 0.2519
Tc1 0.0000 0.0000 0.5013
Mo1 0.0000 0.5000 0.7501
```

=====

# 2
First-principles (PBE) data for an optimized crystal structure of MnTcMo, as listed in the Alexandria database.

DOS(E_F) in states/eV per cell: 6.876
E_form in eV per atom: 0.21
Offset from the most stable computed form in eV per atom: 0.1215

Geometry as CIF:
```
data_MnTcMo
_chemical_formula_sum 'Mn2 Tc2 Mo2'
_cell_length_a 2.7102
_cell_length_b 3.7615
_cell_length_c 8.2561
_cell_angle_alpha 90.00
_cell_angle_beta 90.00
_cell_angle_gamma 90.00
_symmetry_space_group_name_H-M 'I m m 2'
_symmetry_Int_Tables_number 44
loop_
_symmetry_equiv_pos_as_xyz
'x,y,z'
'-x,-y,z'
'-x,y,z'
'x,-y,z'
'x+1/2,y+1/2,z+1/2'
'-x+1/2,-y+1/2,z+1/2'
'-x+1/2,y+1/2,z+1/2'
'x+1/2,-y+1/2,z+1/2'
loop_
_atom_site_label
_atom_site_fract_x
_atom_site_fract_y
_atom_site_fract_z
Mn1 0.0000 0.0000 0.0000
Tc1 0.0000 0.0000 0.6528
Mo1 0.0000 0.0000 0.3311
```

=====

# 3
First-principles (PBE) data for an optimized crystal structure of MnTc2Mo, as listed in the Alexandria database.

DOS(E_F) in states/eV per cell: 5.656
E_form in eV per atom: 0.15

Geometry as CIF:
```
data_MnTc2Mo
_chemical_formula_sum 'Mn1 Tc2 Mo1'
_cell_length_a 2.7009
_cell_length_b 2.7009
_cell_length_c 7.7057
_cell_angle_alpha 90.00
_cell_angle_beta 90.00
_cell_angle_gamma 90.00
_symmetry_space_group_name_H-M 'P 4 m m'
_symmetry_Int_Tables_number 99
loop_
_symmetry_equiv_pos_as_xyz
'x,y,z'
'-y,x,z'
'-x,-y,z'
'y,-x,z'
'-x,y,z'
'y,x,z'
'x,-y,z'
'-y,-x,z'
loop_
_atom_site_label
_atom_site_fract_x
_atom_site_fract_y
_atom_site_fract_z
Mn1 0.0000 0.0000 0.0000
Tc1 0.0000 0.0000 0.5185
Tc2 0.5000 0.5000 0.7814
Mo1 0.5000 0.5000 0.2397
```

=====

# 4
First-principles (PBE) data for an optimized crystal structure of MnTc2Mo, as listed in the Alexandria database.

DOS(E_F) in states/eV per cell: 8.464
E_form in eV per atom: 0.13

Geometry as CIF:
```
data_MnTc2Mo
_chemical_formula_sum 'Mn2 Tc4 Mo2'
_cell_length_a 3.8697
_cell_length_b 3.8697
_cell_length_c 7.6874
_cell_angle_alpha 90.00
_cell_angle_beta 90.00
_cell_angle_gamma 90.00
_symmetry_space_group_name_H-M 'I -4 m 2'
_symmetry_Int_Tables_number 119
_symmetry_space_group_name_Hall 'I -4 -2'
loop_
_atom_site_label
_atom_site_fract_x
_atom_site_fract_y
_atom_site_fract_z
Mn1 0.0000 0.0000 0.0000
Tc1 0.0000 0.0000 0.5000
Tc2 0.0000 0.5000 0.2500
Mo1 0.0000 0.5000 0.7500
```

=====

# 5
First-principles (PBE) data for an optimized crystal structure of MnTc2Mo, as listed in the Alexandria database.

DOS(E_F) in states/eV per cell: 4.278
E_form in eV per atom: 0.12

Geometry as CIF:
```
data_MnTc2Mo
_chemical_formula_sum 'Mn1 Tc2 Mo1'
_cell_length_a 2.6574
_cell_length_b 4.3160
_cell_length_c 5.1465
_cell_angle_alpha 90.00
_cell_angle_beta 101.44
_cell_angle_gamma 90.00
_symmetry_space_group_name_H-M 'P 1 m 1'
_symmetry_Int_Tables_number 6
loop_
_symmetry_equiv_pos_as_xyz
'x,y,z'
'x,-y,z'
loop_
_atom_site_label
_atom_site_fract_x
_atom_site_fract_y
_atom_site_fract_z
Mn1 0.0000 0.0000 0.0000
Tc1 0.4271 0.0000 0.4984
Tc2 0.7087 0.5000 0.2424
Mo1 0.2146 0.5000 0.7543
```

=====

# 6
First-principles (PBE) data for an optimized crystal structure of Mn2TcMo, as listed in the Alexandria database.

DOS(E_F) in states/eV per cell: 7.761
E_form in eV per atom: 0.11
Offset from the most stable computed form in eV per atom: 0.0135

Geometry as CIF:
```
data_Mn2TcMo
_chemical_formula_sum 'Mn4 Tc2 Mo2'
_cell_length_a 3.1682
_cell_length_b 4.1915
_cell_length_c 8.1944
_cell_angle_alpha 90.00
_cell_angle_beta 90.00
_cell_angle_gamma 90.00
_symmetry_space_group_name_H-M 'I m m m'
_symmetry_Int_Tables_number 71
_symmetry_space_group_name_Hall '-I 2 2'
loop_
_atom_site_label
_atom_site_fract_x
_atom_site_fract_y
_atom_site_fract_z
Mn1 0.0000 0.0000 0.2492
Tc1 0.0000 0.5000 0.0000
Mo1 0.0000 0.5000 0.5000
```

=====

# 7
First-principles (PBE) data for an optimized crystal structure of MnTc2Mo, as listed in the Alexandria database.

DOS(E_F) in states/eV per cell: 19.381
E_form in eV per atom: 0.72

Geometry as CIF:
```
data_MnTc2Mo
_chemical_formula_sum 'Mn4 Tc8 Mo4'
_cell_length_a 6.8999
_cell_length_b 6.8999
_cell_length_c 5.0603
_cell_angle_alpha 90.00
_cell_angle_beta 90.00
_cell_angle_gamma 90.00
_symmetry_space_group_name_H-M 'I -4 2 d'
_symmetry_Int_Tables_number 122
_symmetry_space_group_name_Hall 'I -4 2bw'
loop_
_atom_site_label
_atom_site_fract_x
_atom_site_fract_y
_atom_site_fract_z
Mn1 0.0000 0.0000 0.0000
Tc1 0.2188 0.2500 0.1250
Mo1 0.0000 0.0000 0.5000
```

=====

# 8
First-principles (PBE) data for an optimized crystal structure of MnTc2Mo, as listed in the Alexandria database.

DOS(E_F) in states/eV per cell: 7.475
E_form in eV per atom: 0.11

Geometry as CIF:
```
data_MnTc2Mo
_chemical_formula_sum 'Mn2 Tc4 Mo2'
_cell_length_a 5.3435
_cell_length_b 8.7377
_cell_length_c 2.6580
_cell_angle_alpha 90.00
_cell_angle_beta 110.83
_cell_angle_gamma 90.00
_symmetry_space_group_name_H-M 'C 1 2/m 1'
_symmetry_Int_Tables_number 12
loop_
_symmetry_equiv_pos_as_xyz
'x,y,z'
'-x,-y,-z'
'-x,y,-z'
'x,-y,z'
'x+1/2,y+1/2,z'
'-x+1/2,-y+1/2,-z'
'-x+1/2,y+1/2,-z'
'x+1/2,-y+1/2,z'
loop_
_atom_site_label
_atom_site_fract_x
_atom_site_fract_y
_atom_site_fract_z
Mn1 0.0000 0.0000 0.0000
Tc1 0.2500 0.2500 0.5000
Mo1 0.0000 0.5000 0.0000
```